CuRh3F | GGA-PBE | optimized geometry

Lattice parameters (Å, degrees): 4.5736 4.5736 4.5736 90.00 90.00 90.00
Closest atoms and distances in Å follow each position.
Space group Pm-3m (No. 221)
One atom of each set of equivalent atoms:
Cu  0.0000  0.0000  0.0000  6 Rh 2.29
Rh  0.0000  0.0000  0.5000  2 Cu 2.29
F  0.5000  0.5000  0.5000  12 Rh 3.23

Calculated total energy ... -0.3168 Ry per atom
Distance to the lowest polymorph of the same formula ... 0.514 eV per atom